DyBC, optimized geometry, DFT PBE-GGA; mass density = 5.22 Mg/m³; Fermi-level density of states = 0.9 states/eV/f.u.; calculated formation energy = -38 meV per atom
1.0
-4.599 6.594 -5.946
2.054 -8.516 4.820
-2.001 1.057 2.719
B C Dy
2 2 2
direct
0.276 0.724 0.500
0.724 0.276 0.500
0.649 0.351 0.500
0.351 0.649 0.500
0.159 0.841 0.000
0.841 0.159 0.000